AlCr2I after structural relaxation. Source: the Alexandria database, functional PBE-GGA.

The value obtained for the energy relative to the lowest polymorph listed for this composition is 0.0 meV per atom. Its uncorrected formation energy is 0.8300 eV per atom. The value obtained for the theoretical density is 6934 kg/m³.

The structure belongs to space group Fm-3m (No. 225); the cell edges are 6.2744, 6.2744 and 6.2744 Å and the angles 90.00°, 90.00° and 90.00°. The distinct sites, in fractional coordinates, are Al at (0.0000, 0.0000, 0.0000), Cr at (0.2500, 0.2500, 0.2500) and I at (0.0000, 0.0000, 0.5000).

=====

AlCr2I after structural relaxation. Source: the Alexandria database, functional PBE-GGA.

The value obtained for the energy relative to the lowest polymorph listed for this composition is 208.0 meV per atom. Its uncorrected formation energy is 1.0380 eV per atom. The value obtained for the theoretical density is 5890 kg/m³.

The structure belongs to space group I-42d (No. 122); the cell edges are 4.0502, 4.0502 and 17.7269 Å and the angles 90.00°, 90.00° and 90.00°. The distinct sites, in fractional coordinates, are Al at (0.0000, 0.0000, 0.0000), Cr at (0.1594, 0.2500, 0.1250) and I at (0.0000, 0.0000, 0.5000).

=====

Al3CrI after structural relaxation. Source: the Alexandria database, functional PBE-GGA.

The value obtained for the energy relative to the lowest polymorph listed for this composition is 0.0 meV per atom. Its uncorrected formation energy is 0.5417 eV per atom. The value obtained for the theoretical density is 3396 kg/m³.

The structure belongs to space group Pm-3m (No. 221); the cell edges are 5.0272, 5.0272 and 5.0272 Å and the angles 90.00°, 90.00° and 90.00°. The distinct sites, in fractional coordinates, are Al at (0.0000, 0.0000, 0.5000), Cr at (0.0000, 0.0000, 0.0000) and I at (0.5000, 0.5000, 0.5000).

=====

LiAl2CrI after structural relaxation. Source: the Alexandria database, functional PBE-GGA.

Its uncorrected formation energy is 1.2762 eV per atom. The value obtained for the theoretical density is 3711 kg/m³.

The structure belongs to space group P4/mmm (No. 123); the cell edges are 4.6042, 4.6042 and 5.0622 Å and the angles 90.00°, 90.00° and 90.00°. The distinct sites, in fractional coordinates, are Li at (0.0000, 0.0000, 0.0000), Al at (0.0000, 0.5000, 0.0000), Cr at (0.5000, 0.5000, 0.5000) and I at (0.0000, 0.0000, 0.5000).

=====

NaAl2CrI after structural relaxation. Source: the Alexandria database, functional PBE-GGA.

Its uncorrected formation energy is 0.4531 eV per atom. The value obtained for the theoretical density is 2718 kg/m³.

The structure belongs to space group P4/mmm (No. 123); the cell edges are 4.9515, 4.9515 and 6.3752 Å and the angles 90.00°, 90.00° and 90.00°. The distinct sites, in fractional coordinates, are Na at (0.0000, 0.0000, 0.0000), Al at (0.0000, 0.5000, 0.5000), Cr at (0.0000, 0.0000, 0.5000) and I at (0.5000, 0.5000, 0.0000).